Record 1
Density functional theory data (PBE-GGA) for a geometry-optimized Na3TiMo structure.

Cell: 5.793 5.793 5.793 Å, 90.00 90.00 90.00°
Positions (direct):
Na: 0.000 0.500 0.000
Na: 0.000 0.000 0.500
Na: 0.500 0.000 0.000
Mo: 0.000 0.000 0.000
Ti: 0.500 0.500 0.500

Results
**Distance to the lowest polymorph of the same formula**: 0.0 kJ/mol of formula units
**SG**: Pm-3m, No. 221



Record 2
Density functional theory data (PBE-GGA) for a geometry-optimized Na2TiMo structure.

Cell: 4.967 4.967 4.967 Å, 60.00 60.00 60.00°
Positions (direct):
Na: 0.250 0.250 0.250
Na: 0.750 0.750 0.750
Mo: 0.500 0.500 0.500
Ti: 0.000 0.000 0.000

Results
**Distance to the lowest polymorph of the same formula**: 51.9 kJ/mol of formula units
**SG**: Fm-3m, No. 225



Record 3
Density functional theory data (PBE-GGA) for a geometry-optimized Na2Ti2Mo structure.

Cell: 6.380 6.380 5.884 Å, 90.00 90.00 90.00°
Positions (direct):
Na: 0.180 0.680 0.500
Na: 0.680 0.820 0.500
Na: 0.820 0.320 0.500
Na: 0.320 0.180 0.500
Mo: 0.000 0.000 0.000
Mo: 0.500 0.500 0.000
Ti: 0.330 0.830 0.000
Ti: 0.830 0.670 0.000
Ti: 0.670 0.170 0.000
Ti: 0.170 0.330 0.000

Results
**Distance to the lowest polymorph of the same formula**: 29.1 kJ/mol of formula units
**SG**: P4/mbm, No. 127



Record 4
Density functional theory data (PBE-GGA) for a geometry-optimized Na2Ti2Mo structure.

Cell: 4.944 4.944 5.164 Å, 61.40 61.40 90.00°
Positions (direct):
Na: 0.368 0.368 0.263
Na: 0.632 0.632 0.737
Mo: 0.000 0.000 0.000
Ti: 0.750 0.250 0.500
Ti: 0.250 0.750 0.500

Results
**Distance to the lowest polymorph of the same formula**: 328.8 kJ/mol of formula units
**SG**: I4/mmm, No. 139



Record 5
Density functional theory data (PBE-GGA) for a geometry-optimized NaTiMo3 structure.

Cell: 4.662 4.662 4.662 Å, 90.00 90.00 90.00°
Positions (direct):
Na: 0.500 0.500 0.500
Mo: 0.000 0.500 0.000
Mo: 0.000 0.000 0.500
Mo: 0.500 0.000 0.000
Ti: 0.000 0.000 0.000

Results
**SG**: Pm-3m, No. 221



Record 6
Density functional theory data (PBE-GGA) for a geometry-optimized NaTiMo2 structure.

Cell: 4.558 4.558 4.558 Å, 60.00 60.00 60.00°
Positions (direct):
Na: 0.000 0.000 0.000
Mo: 0.250 0.250 0.250
Mo: 0.750 0.750 0.750
Ti: 0.500 0.500 0.500

Results
**Distance to the lowest polymorph of the same formula**: 0.0 kJ/mol of formula units
**SG**: Fm-3m, No. 225



Record 7
Density functional theory data (PBE-GGA) for a geometry-optimized Na2Ti2Mo structure.

Cell: 8.474 8.474 2.629 Å, 90.00 90.00 90.00°
Positions (direct):
Na: 0.389 0.889 0.000
Na: 0.889 0.611 0.000
Na: 0.611 0.111 0.000
Na: 0.111 0.389 0.000
Mo: 0.000 0.000 0.000
Mo: 0.500 0.500 0.000
Ti: 0.191 0.691 0.500
Ti: 0.691 0.809 0.500
Ti: 0.809 0.309 0.500
Ti: 0.309 0.191 0.500

Results
**Distance to the lowest polymorph of the same formula**: 247.2 kJ/mol of formula units
**SG**: P4/mbm, No. 127



Record 8
Density functional theory data (PBE-GGA) for a geometry-optimized NaTiMo2 structure.

Cell: 3.837 3.837 10.156 Å, 79.11 79.11 90.00°
Positions (direct):
Na: 0.500 0.500 0.000
Na: 0.250 0.750 0.500
Mo: 0.095 0.125 0.250
Mo: 0.655 0.625 0.250
Mo: 0.375 0.905 0.750
Mo: 0.875 0.345 0.750
Ti: 0.000 0.000 0.000
Ti: 0.750 0.250 0.500

Results
**Distance to the lowest polymorph of the same formula**: 24.8 kJ/mol of formula units
**SG**: I-42d, No. 122



Record 9
Density functional theory data (PBE-GGA) for a geometry-optimized Na2Ti2Mo structure.

Cell: 3.456 3.456 8.764 Å, 78.63 78.63 90.00°
Positions (direct):
Na: 0.750 0.250 0.500
Na: 0.250 0.750 0.500
Mo: 0.000 0.000 0.000
Ti: 0.423 0.423 0.155
Ti: 0.577 0.577 0.845

Results
**Distance to the lowest polymorph of the same formula**: 0.0 kJ/mol of formula units
**SG**: I4/mmm, No. 139



Record 10
Density functional theory data (PBE-GGA) for a geometry-optimized NaTi2Mo structure.

Cell: 3.995 3.995 9.714 Å, 78.13 78.13 90.00°
Positions (direct):
Na: 0.500 0.500 0.000
Na: 0.250 0.750 0.500
Mo: 0.000 0.000 0.000
Mo: 0.750 0.250 0.500
Ti: 0.653 0.125 0.250
Ti: 0.097 0.625 0.250
Ti: 0.375 0.347 0.750
Ti: 0.875 0.903 0.750

Results
**Distance to the lowest polymorph of the same formula**: 216.6 kJ/mol of formula units
**SG**: I-42d, No. 122



Record 11
Density functional theory data (PBE-GGA) for a geometry-optimized NaTi3Mo structure.

Cell: 4.554 4.554 4.554 Å, 90.00 90.00 90.00°
Positions (direct):
Na: 0.000 0.000 0.000
Mo: 0.500 0.500 0.500
Ti: 0.000 0.500 0.000
Ti: 0.000 0.000 0.500
Ti: 0.500 0.000 0.000

Results
**SG**: Pm-3m, No. 221



Record 12
Density functional theory data (PBE-GGA) for a geometry-optimized Na2TiMo structure.

Cell: 8.321 8.321 6.379 Å, 49.30 49.30 90.00°
Positions (direct):
Na: 0.628 0.125 0.250
Na: 0.122 0.625 0.250
Na: 0.375 0.372 0.750
Na: 0.875 0.878 0.750
Mo: 0.000 0.000 0.000
Mo: 0.750 0.250 0.500
Ti: 0.500 0.500 0.000
Ti: 0.250 0.750 0.500

Results
**Distance to the lowest polymorph of the same formula**: 0.0 kJ/mol of formula units
**SG**: I-42d, No. 122



What are the formation enthalpy at 0 K values for these records? In order: 1.816 1.383 0.731 1.352 1.571 0.971 1.183 1.035 0.671 1.093 1.862 1.249 eV per atom.